DFT (PBE-GGA) results for crystalline BN at its relaxed geometry.

Computed properties:
Crystal system: cubic
Uncorrected formation energy (eV per atom): -0.858
DOS at the Fermi energy (states/eV/f.u.): 0.0
E (eV/cell): -66.87
Energy above the most stable polymorph in this dataset (meV/atom): 429

CIF file:
```
data_BN
_chemical_formula_sum 'B4 N4'
_cell_length_a 4.251
_cell_length_b 4.251
_cell_length_c 4.251
_cell_angle_alpha 109.47
_cell_angle_beta 109.47
_cell_angle_gamma 109.47
_symmetry_space_group_name_H-M 'P 1'
_symmetry_Int_Tables_number 1
_symmetry_space_group_name_Hall 'P 1'
loop_
_atom_site_label
_atom_site_fract_x
_atom_site_fract_y
_atom_site_fract_z
B1 0.000 0.000 0.685
B2 0.000 0.685 0.000
B3 0.315 0.315 0.315
B4 0.685 0.000 0.000
N1 0.000 0.000 0.338
N2 0.000 0.338 0.000
N3 0.338 0.000 0.000
N4 0.662 0.662 0.662
```